ErTmAg4: relaxed, PBE-GGA.

Unit cell a=5.670 b=5.670 c=5.670 alpha=60.00 beta=60.00 gamma=60.00
Fractional coordinates of all 6 atoms:
Er 0.000 0.000 0.000
Tm 0.750 0.750 0.750
Ag 0.375 0.375 0.375
Ag 0.375 0.375 0.875
Ag 0.375 0.875 0.375
Ag 0.875 0.375 0.375

Output
- Calculated volume: 21.48 Å³/atom
- ΔE to the lowest computed polymorph: 3.59 kcal/mol of atoms
- Uncorrected energy: -21.477 eV per formula unit

LaPr2HfN4: relaxed, PBE-GGA.

Unit cell a=6.178 b=3.543 c=6.221 alpha=90.00 beta=109.06 gamma=90.00
Fractional coordinates of all 8 atoms:
La 0.000 0.000 0.000
Pr 0.500 0.000 0.500
Pr 0.500 0.500 0.000
Hf 0.000 0.500 0.500
N 0.221 0.000 0.720
N 0.228 0.500 0.275
N 0.772 0.500 0.725
N 0.779 0.000 0.280

Output
- Calculated volume: 16.09 Å³/atom
- Uncorrected energy: -68.791 eV per formula unit
- Formation energy from raw total energies: -1.381 eV/atom

ScMnAu: relaxed, PBE-GGA.

Unit cell a=4.488 b=4.488 c=4.488 alpha=60.00 beta=60.00 gamma=60.00
Fractional coordinates of all 3 atoms:
Sc 0.000 0.000 0.000
Mn 0.750 0.750 0.750
Au 0.250 0.250 0.250

Output
- Calculated volume: 21.31 Å³/atom
- Uncorrected energy: -18.010 eV per formula unit

BeCo2Ge2: relaxed, PBE-GGA.

Unit cell a=6.664 b=6.664 c=2.784 alpha=90.00 beta=90.00 gamma=90.00
Fractional coordinates of all 10 atoms:
Be 0.000 0.000 0.000
Be 0.500 0.500 0.000
Co 0.148 0.352 0.500
Co 0.352 0.852 0.500
Co 0.648 0.148 0.500
Co 0.852 0.648 0.500
Ge 0.151 0.651 0.000
Ge 0.349 0.151 0.000
Ge 0.651 0.849 0.000
Ge 0.849 0.349 0.000

Output
- Calculated volume: 12.36 Å³/atom
- ΔE to the lowest computed polymorph: 2.79 kcal/mol of atoms
- Uncorrected energy: -26.732 eV per formula unit

Rb3InI: relaxed, PBE-GGA.

Unit cell a=6.972 b=6.972 c=6.972 alpha=90.00 beta=90.00 gamma=90.00
Fractional coordinates of all 5 atoms:
Rb 0.000 0.000 0.500
Rb 0.000 0.500 0.000
Rb 0.500 0.000 0.000
In 0.500 0.500 0.500
I 0.000 0.000 0.000

Output
- Calculated volume: 67.78 Å³/atom
- ΔE to the lowest computed polymorph: 0.00 kcal/mol of atoms
- Uncorrected energy: -8.968 eV per formula unit
- Formation energy from raw total energies: -0.355 eV/atom

Pr2NdDyTe5: relaxed, PBE-GGA.

Unit cell a=5.539 b=5.539 c=11.819 alpha=90.00 beta=90.00 gamma=90.00
Fractional coordinates of all 9 atoms:
Pr 0.000 0.000 0.160
Pr 0.000 0.000 0.840
Nd 0.500 0.500 0.500
Dy 0.500 0.500 0.000
Te 0.000 0.000 0.500
Te 0.000 0.500 0.000
Te 0.500 0.000 0.000
Te 0.500 0.500 0.250
Te 0.500 0.500 0.750

Output
- Calculated volume: 40.30 Å³/atom
- Uncorrected energy: -42.384 eV per formula unit
- Formation energy from raw total energies: -0.861 eV/atom

LiCrFe: relaxed, PBE-GGA.

Unit cell a=6.838 b=6.692 c=2.422 alpha=83.11 beta=76.31 gamma=20.59
Fractional coordinates of all 3 atoms:
Li 0.000 0.000 0.000
Cr 0.679 0.679 0.321
Fe 0.330 0.330 0.670

Output
- Calculated volume: 12.05 Å³/atom
- ΔE to the lowest computed polymorph: 3.44 kcal/mol of atoms
- Uncorrected energy: -19.111 eV per formula unit

Li2SmAg3: relaxed, PBE-GGA.

Unit cell a=4.584 b=4.584 c=13.218 alpha=90.00 beta=90.00 gamma=120.00
Fractional coordinates of all 12 atoms:
Li 0.333 0.667 0.071
Li 0.333 0.667 0.429
Li 0.667 0.333 0.571
Li 0.667 0.333 0.929
Sm 0.000 0.000 0.250
Sm 0.000 0.000 0.750
Ag 0.000 0.000 0.000
Ag 0.000 0.000 0.500
Ag 0.333 0.667 0.628
Ag 0.333 0.667 0.872
Ag 0.667 0.333 0.128
Ag 0.667 0.333 0.372

Output
- Calculated volume: 20.04 Å³/atom
- Uncorrected energy: -18.307 eV per formula unit